Record 1
11
Lattice="6.645 -1.882 0.000 6.645 1.882 0.000 -1.471 0.000 4.171" Properties=species:S:1:pos:R:3 comment="Ce2H8Os (PBE-GGA, relaxed)" sg="C2/m (12)" pbc="T T T"
Ce 1.731 0.000 0.609
Ce 10.088 0.000 3.563
H -0.478 0.000 1.357
H 12.297 0.000 2.814
H 2.092 0.000 3.081
H 4.909 0.000 0.688
H 4.260 0.000 2.564
H 7.559 0.000 1.607
H 6.910 0.000 3.483
H 9.727 0.000 1.090
Os 5.910 0.000 2.086



Record 2
9
Lattice="4.441 0.000 0.000 0.000 4.441 0.000 0.000 0.000 11.620" Properties=species:S:1:pos:R:3 comment="Ce5Sb2HOs (PBE-GGA, relaxed)" sg="P4/mmm (123)" pbc="T T T"
Ce 0.000 0.000 0.000
Ce 0.000 2.220 5.810
Ce 2.220 0.000 5.810
Ce 2.220 2.220 2.569
Ce 2.220 2.220 9.052
Sb 0.000 0.000 3.382
Sb 0.000 0.000 8.239
H 2.220 2.220 5.810
Os 2.220 2.220 0.000



Record 3
12
Lattice="4.257 -2.211 0.000 4.257 2.211 0.000 -2.240 0.000 5.926" Properties=species:S:1:pos:R:3 comment="CeSnH8Os2 (PBE-GGA, relaxed)" sg="C2/m (12)" pbc="T T T"
Ce 0.000 0.000 0.000
Sn 3.137 0.000 2.963
H 2.233 1.111 0.986
H 0.754 0.000 2.160
H 1.628 0.000 4.882
H 4.041 1.111 4.940
H 2.233 -1.111 0.986
H 4.646 0.000 1.045
H 5.519 0.000 3.767
H 4.041 -1.111 4.940
Os 0.311 0.000 3.785
Os 5.963 0.000 2.141



Record 4
80
Lattice="-6.421 6.421 6.421 6.421 -6.421 6.421 6.421 6.421 -6.421" Properties=species:S:1:pos:R:3 comment="Ce5P3H12 (PBE-GGA, relaxed)" sg="Ia-3d (230)" pbc="T T T"
Ce 0.000 0.000 0.000
Ce 3.210 3.210 -3.210
Ce 3.210 -3.210 3.210
Ce 6.421 0.000 0.000
Ce 9.631 1.605 0.000
Ce 6.421 -3.210 4.816
Ce 4.816 6.421 -3.210
Ce 4.816 0.000 3.210
Ce 3.210 4.816 0.000
Ce 6.421 3.210 1.605
Ce -3.210 3.210 3.210
Ce 0.000 6.421 0.000
Ce 0.000 0.000 6.421
Ce 3.210 3.210 3.210
Ce 0.000 3.210 4.816
Ce 3.210 1.605 6.421
Ce 1.605 6.421 3.210
Ce 1.605 0.000 9.631
Ce 0.000 9.631 1.605
Ce -3.210 4.816 6.421
P 3.210 1.605 0.000
P 6.421 3.210 -1.605
P 1.605 0.000 3.210
P 8.026 0.000 3.210
P 0.000 3.210 1.605
P 3.210 -1.605 6.421
P 3.210 8.026 0.000
P 6.421 3.210 4.816
P -1.605 6.421 3.210
P 4.816 6.421 3.210
P 0.000 3.210 8.026
P 3.210 4.816 6.421
H 4.942 4.301 -3.713
H 4.689 -0.502 1.091
H 5.919 5.330 -4.689
H 3.713 -1.479 2.120
H 4.301 -3.713 4.942
H 5.330 -4.689 5.919
H 4.942 -2.120 3.713
H 11.110 0.502 1.091
H 2.120 3.713 -1.479
H 7.512 1.732 0.502
H 3.713 4.942 -2.120
H 5.919 1.091 1.732
H 5.919 -1.091 4.689
H 10.133 1.479 2.120
H 1.091 4.689 -0.502
H 8.540 2.708 1.479
H 4.689 5.919 -1.091
H 4.942 2.120 2.708
H 4.301 3.713 1.479
H 5.330 4.689 0.502
H -0.502 1.091 4.689
H 3.713 1.479 4.301
H -1.479 2.120 3.713
H 4.689 0.502 5.330
H 1.732 5.919 1.091
H 7.900 4.301 2.708
H 2.708 4.942 2.120
H 6.923 5.330 1.732
H 1.091 1.732 5.919
H 2.120 2.708 4.942
H 1.479 4.301 3.713
H 1.732 0.502 7.512
H -2.120 3.713 4.942
H 5.330 1.732 6.923
H -3.713 4.942 4.301
H 0.502 7.512 1.732
H 0.502 5.330 4.689
H 2.708 1.479 8.540
H -1.091 4.689 5.919
H 4.301 2.708 7.900
H -4.689 5.919 5.330
H 1.479 8.540 2.708
H 1.091 11.110 0.502
H 2.120 10.133 1.479
H 2.708 7.900 4.301
H 0.502 1.091 11.110
H 1.732 6.923 5.330
H 1.479 2.120 10.133



Record 5
4
Lattice="4.638 0.000 0.000 0.000 4.638 0.000 0.000 0.000 3.529" Properties=species:S:1:pos:R:3 comment="Ce2PH (PBE-GGA, relaxed)" sg="P4/mmm (123)" relative_energy_mev_per_atom=233 pbc="T T T"
Ce 0.000 2.319 0.000
Ce 2.319 0.000 0.000
P 0.000 0.000 1.765
H 2.319 2.319 1.765



Record 6
12
Lattice="6.713 -2.006 0.000 6.713 2.006 0.000 -4.747 0.000 9.108" Properties=species:S:1:pos:R:3 comment="Ce5P5H2 (PBE-GGA, relaxed)" sg="C2/m (12)" pbc="T T T"
Ce 0.000 0.000 0.000
Ce -0.497 0.000 3.836
Ce 3.364 0.000 1.901
Ce 5.316 0.000 7.207
Ce 9.177 0.000 5.272
P 0.784 0.000 6.512
P 0.030 0.000 8.622
P 4.340 0.000 4.554
P 8.650 0.000 0.486
P 7.896 0.000 2.596
H -2.976 0.000 7.261
H 11.656 0.000 1.847



Number 1: calculated total energy -4.813 eV per atom. Number 2: calculated total energy -6.389 eV per atom. Number 3: calculated total energy -5.000 eV per atom. Number 4: calculated total energy -4.526 eV per atom. Number 5: calculated total energy -5.770 eV per atom. Number 6: calculated total energy -6.348 eV per atom.